1.
Entry from the Alexandria database: a geometry-optimized Ba2NdTa3O12 structure (GGA-PBE).

abc: 7.1413 7.1413 7.1413
angles: 64.45 64.45 64.45
Fractional positions:
O1 0.9059 0.2797 0.2797
O2 0.1276 0.1276 0.5967
O3 0.7203 0.7203 0.0941
O4 0.1276 0.5967 0.1276
O5 0.2797 0.2797 0.9059
O6 0.8724 0.8724 0.4033
O7 0.7203 0.0941 0.7203
O8 0.8724 0.4033 0.8724
O9 0.2797 0.9059 0.2797
O10 0.0941 0.7203 0.7203
O11 0.4033 0.8724 0.8724
O12 0.5967 0.1276 0.1276
Ta1 0.5000 0.0000 0.0000
Ta2 0.0000 0.5000 0.0000
Ta3 0.0000 0.0000 0.5000
Ba1 0.3798 0.3798 0.3798
Ba2 0.6202 0.6202 0.6202
Nd1 0.0000 0.0000 0.0000

Calculated values
formation energy from raw total energies	-49.0	eV/f.u.
E_tot	-8.48	eV per atom
total magnetization	2.1	Bohr magnetons per cell



2.
Entry from the Alexandria database: a geometry-optimized Ba2NdTc3O12 structure (GGA-PBE).

abc: 6.9110 6.9110 6.9110
angles: 65.24 65.24 65.24
Fractional positions:
O1 0.5816 0.1315 0.1315
O2 0.2780 0.2780 0.8993
O3 0.4184 0.8685 0.8685
O4 0.1315 0.5816 0.1315
O5 0.8685 0.4184 0.8685
O6 0.7220 0.7220 0.1007
O7 0.7220 0.1007 0.7220
O8 0.2780 0.8993 0.2780
O9 0.1007 0.7220 0.7220
O10 0.1315 0.1315 0.5816
O11 0.8685 0.8685 0.4184
O12 0.8993 0.2780 0.2780
Tc1 0.0000 0.5000 0.0000
Tc2 0.5000 0.0000 0.0000
Tc3 0.0000 0.0000 0.5000
Nd1 0.0000 0.0000 0.0000
Ba1 0.3877 0.3877 0.3877
Ba2 0.6123 0.6123 0.6123

Calculated values
formation energy from raw total energies	-35.4	eV/f.u.
E_tot	-7.48	eV per atom
total magnetization	0.6	Bohr magnetons per cell



3.
Entry from the Alexandria database: a geometry-optimized Ba2NdTcO6 structure (GGA-PBE).

abc: 6.1541 6.1541 10.8873
angles: 73.58 73.58 60.00
Fractional positions:
Ba1 0.8625 0.8625 0.4124
Ba2 0.2754 0.2754 0.1737
Ba3 0.1375 0.1375 0.5876
Ba4 0.7246 0.7246 0.8263
O1 0.8146 0.8146 0.1107
O2 0.1854 0.7399 0.8893
O3 0.3821 0.3821 0.3860
O4 0.6179 0.6179 0.6140
O5 0.6179 0.1503 0.6140
O6 0.3821 0.8497 0.3860
O7 0.1854 0.1854 0.8893
O8 0.2601 0.8146 0.1107
O9 0.8146 0.2601 0.1107
O10 0.1503 0.6179 0.6140
O11 0.7399 0.1854 0.8893
O12 0.8497 0.3821 0.3860
Nd1 0.4047 0.4047 0.7858
Nd2 0.5953 0.5953 0.2142
Tc1 0.5000 0.5000 0.5000
Tc2 0.0000 0.0000 0.0000

Calculated values
formation energy from raw total energies	-23.8	eV/f.u.
E_tot	-7.25	eV per atom
total magnetization	4.0	Bohr magnetons per cell



4.
Entry from the Alexandria database: a geometry-optimized BaNdTcO6 structure (GGA-PBE).

abc: 5.7509 5.7508 5.5633
angles: 90.00 90.00 60.00
Fractional positions:
O1 0.0550 0.3461 0.3029
O2 0.3461 0.0550 0.6971
O3 0.3461 0.5989 0.3029
O4 0.5988 0.3461 0.6971
O5 0.5989 0.0550 0.3029
O6 0.0550 0.5989 0.6971
Nd1 0.6666 0.6667 0.5000
Ba1 0.0000 0.0000 0.0000
Tc1 0.3333 0.3333 0.5000

Calculated values
formation energy from raw total energies	-19.9	eV/f.u.
E_tot	-7.41	eV per atom
total magnetization	0.0	Bohr magnetons per cell



5.
Entry from the Alexandria database: a geometry-optimized BaNdTc2O8 structure (GGA-PBE).

abc: 5.9916 5.9916 7.7549
angles: 90.00 90.00 120.00
Fractional positions:
O1 0.6669 0.8321 0.7062
O2 0.1652 0.3331 0.7062
O3 0.3333 0.6667 0.0104
O4 0.8321 0.1652 0.2938
O5 0.6667 0.3333 0.9896
O6 0.8348 0.6669 0.2938
O7 0.3331 0.1679 0.2938
O8 0.1679 0.8348 0.7062
Ba1 0.0000 0.0000 0.0000
Tc1 0.6667 0.3333 0.2185
Tc2 0.3333 0.6667 0.7815
Nd1 0.0000 0.0000 0.5000

Calculated values
formation energy from raw total energies	-24.4	eV/f.u.
E_tot	-7.63	eV per atom
total magnetization	3.0	Bohr magnetons per cell



6.
Entry from the Alexandria database: a geometry-optimized BaNdTe2O8 structure (GGA-PBE).

abc: 6.1321 6.1321 7.8468
angles: 90.00 90.00 120.00
Fractional positions:
O1 0.1624 0.8389 0.7052
O2 0.8389 0.6765 0.2948
O3 0.1611 0.3235 0.7052
O4 0.3333 0.6667 0.0092
O5 0.6765 0.8376 0.7052
O6 0.8376 0.1611 0.2948
O7 0.3235 0.1624 0.2948
O8 0.6667 0.3333 0.9908
Te1 0.6667 0.3333 0.2257
Te2 0.3333 0.6667 0.7743
Nd1 0.0000 0.0000 0.5000
Ba1 0.0000 0.0000 0.0000

Calculated values
formation energy from raw total energies	-20.6	eV/f.u.
E_tot	-6.10	eV per atom
total magnetization	0.0	Bohr magnetons per cell



7.
Entry from the Alexandria database: a geometry-optimized Ba2NdThO6 structure (GGA-PBE).

abc: 6.3764 6.4325 9.0427
angles: 90.00 90.05 90.00
Fractional positions:
Ba1 0.4893 0.4677 0.2505
Ba2 0.5107 0.5323 0.7495
Ba3 0.9893 0.0323 0.7505
Ba4 0.0107 0.9677 0.2495
O1 0.2102 0.2189 0.4501
O2 0.7898 0.7811 0.5499
O3 0.2817 0.7100 0.4520
O4 0.2898 0.7189 0.0499
O5 0.9113 0.5288 0.2543
O6 0.4113 0.9712 0.7543
O7 0.0887 0.4712 0.7457
O8 0.5887 0.0288 0.2457
O9 0.7183 0.2900 0.5480
O10 0.7102 0.2811 0.9501
O11 0.7817 0.7900 0.9520
O12 0.2183 0.2100 0.0480
Th1 0.5000 0.0000 0.0000
Th2 0.0000 0.5000 0.5000
Nd1 0.0000 0.5000 0.0000
Nd2 0.5000 0.0000 0.5000

Calculated values
formation energy from raw total energies	-29.9	eV/f.u.
E_tot	-7.57	eV per atom
total magnetization	2.1	Bohr magnetons per cell



8.
Entry from the Alexandria database: a geometry-optimized Ba4NdTi3O12 structure (GGA-PBE).

abc: 7.2444 7.2444 7.2444
angles: 109.47 109.47 109.47
Fractional positions:
O1 0.7264 0.7264 0.0000
O2 0.5000 0.2500 0.7500
O3 0.5000 0.7500 0.2500
O4 0.0000 0.7264 0.7264
O5 0.7264 0.0000 0.7264
O6 0.7500 0.2500 0.5000
O7 0.2736 0.2736 0.0000
O8 0.2500 0.7500 0.5000
O9 0.0000 0.2736 0.2736
O10 0.7500 0.5000 0.2500
O11 0.2736 0.0000 0.2736
O12 0.2500 0.5000 0.7500
Nd1 0.0000 0.0000 0.0000
Ba1 0.0000 0.0000 0.5000
Ba2 0.5000 0.0000 0.0000
Ba3 0.5000 0.5000 0.5000
Ba4 0.0000 0.5000 0.0000
Ti1 0.0000 0.5000 0.5000
Ti2 0.5000 0.0000 0.5000
Ti3 0.5000 0.5000 0.0000

Calculated values
formation energy from raw total energies	-58.4	eV/f.u.
E_tot	-7.70	eV per atom
total magnetization	1.0	Bohr magnetons per cell



9.
Entry from the Alexandria database: a geometry-optimized Ba3NdTl2O6 structure (GGA-PBE).

abc: 6.4205 6.4205 7.1431
angles: 90.00 90.00 120.00
Fractional positions:
O1 0.8314 0.6629 0.6933
O2 0.6629 0.8314 0.3067
O3 0.3371 0.1686 0.6933
O4 0.1686 0.8314 0.3067
O5 0.8314 0.1686 0.6933
O6 0.1686 0.3371 0.3067
Ba1 0.3333 0.6667 0.6049
Ba2 0.0000 0.0000 0.0000
Ba3 0.6667 0.3333 0.3951
Tl1 0.3333 0.6667 0.1199
Tl2 0.6667 0.3333 0.8801
Nd1 0.0000 0.0000 0.5000

Calculated values
formation energy from raw total energies	-24.6	eV/f.u.
E_tot	-5.80	eV per atom
total magnetization	0.0	Bohr magnetons per cell